(1)
The following is a PBE-GGA calculation of an optimized crystal structure of Dy3Zn2Pd3, from Alexandria.

Output
As for the total energy: -4.68 eV per atom. Its symmetry is P6_3/mcm. Its formation energy from the elements is -0.687 eV per atom.

```
Dy3Zn2Pd3
1.0
8.250 0.000 0.000
-4.125 7.145 0.000
0.000 0.000 5.579
Dy Zn Pd
6 4 6
Direct
0.000 0.268 0.250 Dy
0.000 0.732 0.750 Dy
0.268 0.000 0.250 Dy
0.268 0.268 0.750 Dy
0.732 0.000 0.750 Dy
0.732 0.732 0.250 Dy
0.333 0.667 0.000 Zn
0.333 0.667 0.500 Zn
0.667 0.333 0.000 Zn
0.667 0.333 0.500 Zn
0.000 0.396 0.750 Pd
0.000 0.604 0.250 Pd
0.396 0.000 0.750 Pd
0.396 0.396 0.250 Pd
0.604 0.000 0.250 Pd
0.604 0.604 0.750 Pd
```

(2)
The following is a PBE-GGA calculation of an optimized crystal structure of DyZnPd, from Alexandria.

Output
As for the total energy: -4.37 eV per atom. Its symmetry is P-6m2. Its formation energy from the elements is -0.678 eV per atom.

```
DyZnPd
1.0
4.478 0.000 0.000
-2.239 3.878 0.000
0.000 0.000 3.454
Dy Zn Pd
1 1 1
Direct
0.000 0.000 0.000 Dy
0.333 0.667 0.500 Zn
0.667 0.333 0.500 Pd
```

(3)
The following is a PBE-GGA calculation of an optimized crystal structure of DyZn6Pd12, from Alexandria.

Output
As for the total energy: -4.19 eV per atom. Its symmetry is R-3. Its formation energy from the elements is -0.263 eV per atom.

```
DyZn6Pd12
1.0
5.328 3.076 3.223
-5.328 3.076 3.223
0.000 -6.152 3.223
Dy Zn Pd
1 6 12
Direct
0.000 0.000 0.000 Dy
0.158 0.448 0.234 Zn
0.234 0.158 0.448 Zn
0.448 0.234 0.158 Zn
0.552 0.766 0.842 Zn
0.766 0.842 0.552 Zn
0.842 0.552 0.766 Zn
0.003 0.209 0.685 Pd
0.183 0.585 0.608 Pd
0.209 0.685 0.003 Pd
0.315 0.997 0.791 Pd
0.392 0.817 0.415 Pd
0.415 0.392 0.817 Pd
0.585 0.608 0.183 Pd
0.608 0.183 0.585 Pd
0.685 0.003 0.209 Pd
0.791 0.315 0.997 Pd
0.817 0.415 0.392 Pd
0.997 0.791 0.315 Pd
```

(4)
The following is a PBE-GGA calculation of an optimized crystal structure of DyZn6Pd4, from Alexandria.

Output
As for the total energy: -3.36 eV per atom. Its symmetry is I-42m. Its formation energy from the elements is -0.362 eV per atom.

```
DyZn6Pd4
1.0
-3.313 3.313 4.709
3.313 -3.313 4.709
3.313 3.313 -4.709
Dy Zn Pd
1 6 4
Direct
0.000 0.000 0.000 Dy
0.000 0.500 0.500 Zn
0.127 0.127 0.656 Zn
0.471 0.471 0.344 Zn
0.500 0.000 0.500 Zn
0.529 0.873 0.000 Zn
0.873 0.529 0.000 Zn
0.239 0.608 0.000 Pd
0.392 0.392 0.630 Pd
0.608 0.239 0.000 Pd
0.761 0.761 0.370 Pd
```

(5)
The following is a PBE-GGA calculation of an optimized crystal structure of DyZn2Pd4, from Alexandria.

Output
As for the total energy: -4.63 eV per atom. Its symmetry is Immm. Its formation energy from the elements is -0.641 eV per atom.

```
DyZn2Pd4
1.0
-2.690 3.058 3.570
2.690 -3.058 3.570
2.690 3.058 -3.570
Dy Zn Pd
1 2 4
Direct
0.000 0.000 0.000 Dy
0.500 0.235 0.735 Zn
0.500 0.765 0.265 Zn
0.020 0.303 0.717 Pd
0.414 0.697 0.717 Pd
0.586 0.303 0.283 Pd
0.980 0.697 0.283 Pd
```

(6)
The following is a PBE-GGA calculation of an optimized crystal structure of DyZn11Pd, from Alexandria.

Output
As for the total energy: -2.08 eV per atom. Its symmetry is C2/m. Its formation energy from the elements is -0.252 eV per atom.

```
DyZn11Pd
1.0
2.611 -6.298 0.000
2.611 6.298 0.000
-2.535 0.000 6.278
Dy Zn Pd
1 11 1
Direct
0.000 0.000 0.000 Dy
0.000 0.500 0.000 Zn
0.009 0.657 0.647 Zn
0.286 0.504 0.785 Zn
0.343 0.991 0.353 Zn
0.496 0.714 0.215 Zn
0.500 0.000 0.000 Zn
0.500 0.500 0.500 Zn
0.504 0.286 0.785 Zn
0.657 0.009 0.647 Zn
0.714 0.496 0.215 Zn
0.991 0.343 0.353 Zn
0.000 0.000 0.500 Pd
```

(7)
The following is a PBE-GGA calculation of an optimized crystal structure of DyZrPd, from Alexandria.

Output
As for the total energy: -6.55 eV per atom. Its symmetry is I4mm. Its formation energy from the elements is -0.436 eV per atom.

```
DyZrPd
1.0
-1.726 1.726 5.639
1.726 -1.726 5.639
1.726 1.726 -5.639
Dy Zr Pd
1 1 1
Direct
0.000 0.000 0.000 Dy
0.302 0.302 0.000 Zr
0.666 0.666 0.000 Pd
```

(8)
The following is a PBE-GGA calculation of an optimized crystal structure of DyZrPd4, from Alexandria.

Output
The offset from the most stable computed form is 0 meV/atom. As for the total energy: -6.35 eV per atom. Its symmetry is Pnma. Its formation energy from the elements is -0.698 eV per atom.

```
DyZrPd4
1.0
6.812 0.000 0.000
0.000 4.090 0.000
0.000 0.000 16.356
Dy Zr Pd
4 4 16
Direct
0.179 0.250 0.210 Dy
0.321 0.750 0.710 Dy
0.679 0.250 0.290 Dy
0.821 0.750 0.790 Dy
0.191 0.750 0.474 Zr
0.309 0.250 0.974 Zr
0.691 0.750 0.026 Zr
0.809 0.250 0.526 Zr
0.044 0.750 0.941 Pd
0.061 0.250 0.376 Pd
0.130 0.250 0.821 Pd
0.224 0.250 0.591 Pd
0.276 0.750 0.091 Pd
0.370 0.750 0.321 Pd
0.439 0.750 0.876 Pd
0.456 0.250 0.441 Pd
0.544 0.750 0.559 Pd
0.561 0.250 0.124 Pd
0.630 0.250 0.679 Pd
0.724 0.250 0.909 Pd
0.776 0.750 0.409 Pd
0.870 0.750 0.179 Pd
0.939 0.750 0.624 Pd
0.956 0.250 0.059 Pd
```